# MnCrGa2O, optimized geometry, DFT GGA+U
data_MnCrGa2O
_symmetry_space_group_name_H-M 'P 4/m m m'
_symmetry_Int_Tables_number 123
_symmetry_space_group_name_Hall '-P 4 2'
_cell_length_a 4.670
_cell_length_b 4.670
_cell_length_c 3.956
_cell_angle_alpha 90.00
_cell_angle_beta 90.00
_cell_angle_gamma 90.00
loop_
_atom_site_label
_atom_site_fract_x
_atom_site_fract_y
_atom_site_fract_z
Mn1 0.000 0.000 0.000
Cr1 0.500 0.500 0.000
Ga1 0.000 0.500 0.500
O1 0.500 0.500 0.500
# Uncorrected energy in eV per atom: -5.345
# Total magnetization in Bohr magnetons per cell: 8.5